No. 1
Density functional theory data (PBE) for a relaxed structure of SmCdAgCl6.

The value obtained for the total DFT energy (no corrections) is -65.09 eV/cell. As for the space-group type: No. 163. For the raw formation energy, the calculation gives -1.442 eV/atom. The total magnetization is 0.00 μB per formula unit.

Cell lengths 6.830, 6.830, 12.291 Å; angles 90.00, 90.00, 120.00 degrees
Element x y z (fractional)
Cl: 0.342 0.994 0.127
Cl: 0.348 0.006 0.627
Cl: 0.658 0.006 0.873
Cl: 0.994 0.342 0.627
Cl: 0.652 0.658 0.127
Cl: 0.006 0.658 0.373
Cl: 0.658 0.652 0.627
Cl: 0.652 0.994 0.373
Cl: 0.348 0.342 0.873
Cl: 0.006 0.348 0.127
Cl: 0.342 0.348 0.373
Cl: 0.994 0.652 0.873
Cd: 0.333 0.667 0.250
Cd: 0.667 0.333 0.750
Sm: 0.667 0.333 0.250
Sm: 0.333 0.667 0.750
Ag: 0.000 0.000 0.500
Ag: 0.000 0.000 0.000

No. 2
Density functional theory data (PBE) for a relaxed structure of La2Tc.

The value obtained for the total DFT energy (no corrections) is -79.08 eV/cell. For the energy of formation, the calculation gives 0.1502 eV per atom. The calculation puts the energy above the lowest structure with this stoichiometry at 116 meV/atom. As for the space-group type: No. 205. The total magnetization is 0.00 μB per formula unit.

Cell lengths 7.089, 7.089, 7.089 Å; angles 90.00, 90.00, 90.00 degrees
Element x y z (fractional)
La: 0.821 0.179 0.679
La: 0.179 0.821 0.321
La: 0.179 0.679 0.821
La: 0.679 0.821 0.179
La: 0.321 0.179 0.821
La: 0.321 0.321 0.321
La: 0.679 0.679 0.679
La: 0.821 0.321 0.179
Tc: 0.000 0.500 0.500
Tc: 0.000 0.000 0.000
Tc: 0.500 0.500 0.000
Tc: 0.500 0.000 0.500

No. 3
Density functional theory data (PBE) for a relaxed structure of UCrPt4.

The value obtained for the total DFT energy (no corrections) is -47.64 eV/cell. For the energy of formation, the calculation gives -0.4274 eV per atom. As for the space-group type: No. 216. The total magnetization is 6.10 μB per formula unit.

Cell lengths 5.333, 5.333, 5.333 Å; angles 60.00, 60.00, 60.00 degrees
Each line ends with the local moment (μB).
Element x y z (fractional)
U: 0.250 0.250 0.250  1.92
Cr: 0.000 0.000 0.000  3.72
Pt: 0.625 0.625 0.625  -0.04
Pt: 0.625 0.124 0.625  -0.04
Pt: 0.625 0.625 0.124  -0.04
Pt: 0.124 0.625 0.625  -0.04